No. 1
## TlInRe2 (GGA-PBE)

Data for crystalline TlInRe2 at its relaxed geometry.

a = 5.146 Å, b = 5.146 Å, c = 3.024 Å
α = 90.00°, β = 90.00°, γ = 114.04°
Element x y z (fractional)
Tl: 0.000 0.000 0.000
In: 0.500 0.500 0.000
Re: 0.000 0.500 0.500
Re: 0.500 0.000 0.500

Calculated values
Calculated volume: 18.3 Å³/atom
Electronic total energy: -6.36 eV per atom
Formation energy from the elements: 4.57 eV per formula unit

No. 2
## TlInRe2 (GGA-PBE)

Data for crystalline TlInRe2 at its relaxed geometry.

a = 3.059 Å, b = 3.059 Å, c = 8.631 Å
α = 90.00°, β = 90.00°, γ = 90.00°
Element x y z (fractional)
Tl: 0.000 0.000 0.000
In: 0.500 0.500 0.329
Re: 0.000 0.000 0.572
Re: 0.500 0.500 0.733

Calculated values
Calculated volume: 20.2 Å³/atom
Electronic total energy: -7.11 eV per atom
Formation energy from the elements: 1.58 eV per formula unit

No. 3
## TlInRe4 (GGA-PBE)

Data for crystalline TlInRe4 at its relaxed geometry.

a = 5.337 Å, b = 5.337 Å, c = 5.337 Å
α = 60.00°, β = 60.00°, γ = 60.00°
Element x y z (fractional)
Tl: 0.000 0.000 0.000
In: 0.750 0.750 0.750
Re: 0.375 0.375 0.375
Re: 0.375 0.375 0.875
Re: 0.375 0.875 0.375
Re: 0.875 0.375 0.375

Calculated values
Calculated volume: 17.9 Å³/atom
Electronic total energy: -8.37 eV per atom
Formation energy from the elements: 4.65 eV per formula unit

No. 4
## TlInRe2 (GGA-PBE)

Data for crystalline TlInRe2 at its relaxed geometry.

a = 4.985 Å, b = 4.985 Å, c = 4.985 Å
α = 129.26°, β = 129.26°, γ = 74.59°
Element x y z (fractional)
Tl: 0.000 0.000 0.000
In: 0.250 0.750 0.500
Re: 0.500 0.500 0.000
Re: 0.750 0.250 0.500

Calculated values
Calculated volume: 18.1 Å³/atom
Electronic total energy: -6.48 eV per atom
Formation energy from the elements: 4.07 eV per formula unit

No. 5
## TlInRe2 (GGA-PBE)

Data for crystalline TlInRe2 at its relaxed geometry.

a = 2.891 Å, b = 2.891 Å, c = 8.784 Å
α = 90.00°, β = 90.00°, γ = 90.00°
Element x y z (fractional)
Tl: 0.000 0.000 0.000
In: 0.000 0.000 0.500
Re: 0.500 0.500 0.258
Re: 0.500 0.500 0.742

Calculated values
Calculated volume: 18.4 Å³/atom
Electronic total energy: -6.34 eV per atom
Formation energy from the elements: 4.63 eV per formula unit

No. 6
## Tl3InRe (GGA-PBE)

Data for crystalline Tl3InRe at its relaxed geometry.

a = 5.370 Å, b = 5.370 Å, c = 5.370 Å
α = 90.00°, β = 90.00°, γ = 90.00°
Element x y z (fractional)
Tl: 0.000 0.000 0.500
Tl: 0.000 0.500 0.000
Tl: 0.500 0.000 0.000
In: 0.500 0.500 0.500
Re: 0.000 0.000 0.000

Calculated values
Calculated volume: 31.0 Å³/atom
Electronic total energy: -3.86 eV per atom
Formation energy from the elements: 2.99 eV per formula unit

No. 7
## Tm2InRe (GGA-PBE)

Data for crystalline Tm2InRe at its relaxed geometry.

a = 3.513 Å, b = 3.513 Å, c = 7.356 Å
α = 90.00°, β = 90.00°, γ = 90.00°
Element x y z (fractional)
Tm: 0.000 0.000 0.216
Tm: 0.000 0.000 0.784
In: 0.500 0.500 0.500
Re: 0.500 0.500 0.000

Calculated values
Calculated volume: 22.7 Å³/atom
Electronic total energy: -6.19 eV per atom
Formation energy from the elements: -0.65 eV per formula unit

No. 8
## Tm6In2Re (GGA-PBE)

Data for crystalline Tm6In2Re at its relaxed geometry.

a = 8.392 Å, b = 8.392 Å, c = 3.953 Å
α = 90.00°, β = 90.00°, γ = 120.00°
Element x y z (fractional)
Tm: 0.000 0.243 0.000
Tm: 0.000 0.619 0.500
Tm: 0.243 0.000 0.000
Tm: 0.381 0.381 0.500
Tm: 0.619 0.000 0.500
Tm: 0.757 0.757 0.000
In: 0.333 0.667 0.000
In: 0.667 0.333 0.000
Re: 0.000 0.000 0.500

Calculated values
Calculated volume: 26.8 Å³/atom
Electronic total energy: -5.23 eV per atom
Formation energy from the elements: -2.28 eV per formula unit

No. 9
## U2InRe (GGA-PBE)

Data for crystalline U2InRe at its relaxed geometry.

a = 3.731 Å, b = 3.731 Å, c = 6.354 Å
α = 90.00°, β = 90.00°, γ = 90.00°
Element x y z (fractional)
U: 0.000 0.000 0.195
U: 0.000 0.000 0.805
In: 0.500 0.500 0.500
Re: 0.500 0.500 0.000

Calculated values
Calculated volume: 22.1 Å³/atom
Electronic total energy: -9.22 eV per atom
Formation energy from the elements: 0.89 eV per formula unit

No. 10
## U2InRe (GGA-PBE)

Data for crystalline U2InRe at its relaxed geometry.

a = 10.544 Å, b = 10.544 Å, c = 10.544 Å
α = 16.38°, β = 16.38°, γ = 16.38°
Element x y z (fractional)
U: 0.241 0.241 0.241
U: 0.759 0.759 0.759
In: 0.000 0.000 0.000
Re: 0.500 0.500 0.500

Calculated values
Calculated volume: 20.3 Å³/atom
Electronic total energy: -9.22 eV per atom
Formation energy from the elements: 0.89 eV per formula unit

No. 11
## VInRe3 (GGA-PBE)

Data for crystalline VInRe3 at its relaxed geometry.

a = 4.545 Å, b = 4.545 Å, c = 4.545 Å
α = 90.00°, β = 90.00°, γ = 90.00°
Element x y z (fractional)
V: 0.000 0.000 0.000
In: 0.500 0.500 0.500
Re: 0.000 0.000 0.500
Re: 0.000 0.500 0.000
Re: 0.500 0.000 0.000

Calculated values
Calculated volume: 18.8 Å³/atom
Electronic total energy: -8.28 eV per atom
Formation energy from the elements: 7.79 eV per formula unit

No. 12
## VIn3Re (GGA-PBE)

Data for crystalline VIn3Re at its relaxed geometry.

a = 5.180 Å, b = 5.180 Å, c = 5.180 Å
α = 90.00°, β = 90.00°, γ = 90.00°
Element x y z (fractional)
V: 0.000 0.000 0.000
In: 0.000 0.500 0.500
In: 0.500 0.000 0.500
In: 0.500 0.500 0.000
Re: 0.500 0.500 0.500

Calculated values
Calculated volume: 27.8 Å³/atom
Electronic total energy: -4.95 eV per atom
Formation energy from the elements: 5.04 eV per formula unit

No. 13
## VInRe2 (GGA-PBE)

Data for crystalline VInRe2 at its relaxed geometry.

a = 9.750 Å, b = 9.750 Å, c = 9.750 Å
α = 156.70°, β = 156.70°, γ = 33.19°
Element x y z (fractional)
V: 0.000 0.000 0.000
V: 0.750 0.250 0.500
In: 0.250 0.750 0.500
In: 0.500 0.500 0.000
Re: 0.060 0.625 0.935
Re: 0.375 0.310 0.435
Re: 0.690 0.125 0.065
Re: 0.875 0.940 0.565

Calculated values
Calculated volume: 18.1 Å³/atom
Electronic total energy: -8.33 eV per atom
Formation energy from the elements: 3.43 eV per formula unit

No. 14
## VIn2Re (GGA-PBE)

Data for crystalline VIn2Re at its relaxed geometry.

a = 4.645 Å, b = 4.645 Å, c = 4.645 Å
α = 60.00°, β = 60.00°, γ = 60.00°
Element x y z (fractional)
V: 0.000 0.000 0.000
In: 0.250 0.250 0.250
In: 0.750 0.750 0.750
Re: 0.500 0.500 0.500

Calculated values
Calculated volume: 17.7 Å³/atom
Electronic total energy: -6.22 eV per atom
Formation energy from the elements: 2.16 eV per formula unit

No. 15
## InReW2 (GGA-PBE)

Data for crystalline InReW2 at its relaxed geometry.

a = 5.033 Å, b = 5.033 Å, c = 2.870 Å
α = 90.00°, β = 90.00°, γ = 112.75°
Element x y z (fractional)
In: 0.000 0.000 0.000
Re: 0.500 0.500 0.000
W: 0.000 0.500 0.500
W: 0.500 0.000 0.500

Calculated values
Calculated volume: 16.8 Å³/atom
Electronic total energy: -9.71 eV per atom
Formation energy from the elements: 2.25 eV per formula unit

No. 16
## InReW2 (GGA-PBE)

Data for crystalline InReW2 at its relaxed geometry.

a = 4.480 Å, b = 4.480 Å, c = 3.336 Å
α = 90.00°, β = 90.00°, γ = 90.00°
Element x y z (fractional)
In: 0.000 0.000 0.000
Re: 0.500 0.500 0.000
W: 0.000 0.500 0.500
W: 0.500 0.000 0.500

Calculated values
Calculated volume: 16.7 Å³/atom
Electronic total energy: -9.60 eV per atom
Formation energy from the elements: 2.69 eV per formula unit

No. 17
## InReW2 (GGA-PBE)

Data for crystalline InReW2 at its relaxed geometry.

a = 5.376 Å, b = 5.376 Å, c = 5.376 Å
α = 145.13°, β = 130.38°, γ = 62.08°
Element x y z (fractional)
In: 0.000 0.000 0.000
Re: 0.500 0.500 0.000
W: 0.263 0.763 0.500
W: 0.737 0.237 0.500

Calculated values
Calculated volume: 16.7 Å³/atom
Electronic total energy: -9.87 eV per atom
Formation energy from the elements: 1.63 eV per formula unit

No. 18
## InReW2 (GGA-PBE)

Data for crystalline InReW2 at its relaxed geometry.

a = 2.816 Å, b = 2.816 Å, c = 9.244 Å
α = 90.00°, β = 90.00°, γ = 111.56°
Element x y z (fractional)
In: 0.000 0.000 0.000
Re: 0.000 0.000 0.500
W: 0.500 0.500 0.266
W: 0.500 0.500 0.734

Calculated values
Calculated volume: 17.0 Å³/atom
Electronic total energy: -9.84 eV per atom
Formation energy from the elements: 1.72 eV per formula unit

No. 19
## InReW2 (GGA-PBE)

Data for crystalline InReW2 at its relaxed geometry.

a = 2.897 Å, b = 2.897 Å, c = 8.151 Å
α = 90.00°, β = 90.00°, γ = 90.00°
Element x y z (fractional)
In: 0.000 0.000 0.000
Re: 0.000 0.000 0.500
W: 0.500 0.500 0.277
W: 0.500 0.500 0.723

Calculated values
Calculated volume: 17.1 Å³/atom
Electronic total energy: -9.90 eV per atom
Formation energy from the elements: 1.50 eV per formula unit

No. 20
## InReW2 (GGA-PBE)

Data for crystalline InReW2 at its relaxed geometry.

a = 5.298 Å, b = 5.298 Å, c = 2.786 Å
α = 98.14°, β = 98.14°, γ = 117.02°
Element x y z (fractional)
In: 0.000 0.000 0.000
Re: 0.500 0.500 0.000
W: 0.000 0.500 0.500
W: 0.500 0.000 0.500

Calculated values
Calculated volume: 16.8 Å³/atom
Electronic total energy: -9.73 eV per atom
Formation energy from the elements: 2.16 eV per formula unit

No. 21
## InReW2 (GGA-PBE)

Data for crystalline InReW2 at its relaxed geometry.

a = 5.338 Å, b = 5.338 Å, c = 4.554 Å
α = 115.08°, β = 115.08°, γ = 35.29°
Element x y z (fractional)
In: 0.000 0.000 0.000
Re: 0.240 0.240 0.741
W: 0.502 0.502 0.502
W: 0.765 0.765 0.266

Calculated values
Calculated volume: 16.8 Å³/atom
Electronic total energy: -9.82 eV per atom
Formation energy from the elements: 1.82 eV per formula unit

No. 22
## InReW2 (GGA-PBE)

Data for crystalline InReW2 at its relaxed geometry.

a = 4.560 Å, b = 4.560 Å, c = 4.560 Å
α = 60.00°, β = 60.00°, γ = 60.00°
Element x y z (fractional)
In: 0.000 0.000 0.000
Re: 0.250 0.250 0.250
W: 0.500 0.500 0.500
W: 0.750 0.750 0.750

Calculated values
Calculated volume: 16.8 Å³/atom
Electronic total energy: -9.76 eV per atom
Formation energy from the elements: 2.04 eV per formula unit

No. 23
## InRe3W (GGA-PBE)

Data for crystalline InRe3W at its relaxed geometry.

a = 4.690 Å, b = 4.690 Å, c = 4.690 Å
α = 90.00°, β = 90.00°, γ = 90.00°
Element x y z (fractional)
In: 0.000 0.000 0.000
Re: 0.000 0.000 0.500
Re: 0.000 0.500 0.000
Re: 0.500 0.000 0.000
W: 0.500 0.500 0.500

Calculated values
Calculated volume: 20.6 Å³/atom
Electronic total energy: -7.43 eV per atom
Formation energy from the elements: 15.87 eV per formula unit

No. 24
## InRe3W (GGA-PBE)

Data for crystalline InRe3W at its relaxed geometry.

a = 4.767 Å, b = 4.767 Å, c = 4.767 Å
α = 90.00°, β = 90.00°, γ = 90.00°
Element x y z (fractional)
In: 0.000 0.000 0.000
Re: 0.000 0.500 0.500
Re: 0.500 0.000 0.500
Re: 0.500 0.500 0.000
W: 0.500 0.500 0.500

Calculated values
Calculated volume: 21.7 Å³/atom
Electronic total energy: -8.50 eV per atom
Formation energy from the elements: 10.56 eV per formula unit

No. 25
## InReW2 (GGA-PBE)

Data for crystalline InReW2 at its relaxed geometry.

a = 2.941 Å, b = 4.074 Å, c = 5.777 Å
α = 90.00°, β = 90.00°, γ = 90.00°
Element x y z (fractional)
In: 0.000 0.000 0.000
Re: 0.500 0.500 0.286
W: 0.000 0.000 0.494
W: 0.500 0.500 0.715

Calculated values
Calculated volume: 17.3 Å³/atom
Electronic total energy: -9.81 eV per atom
Formation energy from the elements: 1.85 eV per formula unit

No. 26
## InReW2 (GGA-PBE)

Data for crystalline InReW2 at its relaxed geometry.

a = 2.820 Å, b = 2.820 Å, c = 9.180 Å
α = 90.00°, β = 90.00°, γ = 111.05°
Element x y z (fractional)
In: 0.000 0.000 0.000
Re: 0.500 0.500 0.264
W: 0.000 0.000 0.495
W: 0.500 0.500 0.733

Calculated values
Calculated volume: 17.0 Å³/atom
Electronic total energy: -9.89 eV per atom
Formation energy from the elements: 1.55 eV per formula unit

No. 27
## InReW2 (GGA-PBE)

Data for crystalline InReW2 at its relaxed geometry.

a = 2.866 Å, b = 4.147 Å, c = 5.712 Å
α = 90.00°, β = 90.24°, γ = 90.00°
Element x y z (fractional)
In: 0.000 0.000 0.000
Re: 0.000 0.000 0.500
W: 0.497 0.500 0.723
W: 0.503 0.500 0.277

Calculated values
Calculated volume: 17.0 Å³/atom
Electronic total energy: -9.85 eV per atom
Formation energy from the elements: 1.71 eV per formula unit

No. 28
## InReW2 (GGA-PBE)

Data for crystalline InReW2 at its relaxed geometry.

a = 9.510 Å, b = 9.510 Å, c = 9.510 Å
α = 17.51°, β = 17.51°, γ = 17.51°
Element x y z (fractional)
In: 0.000 0.000 0.000
Re: 0.500 0.500 0.500
W: 0.245 0.245 0.245
W: 0.755 0.755 0.755

Calculated values
Calculated volume: 17.0 Å³/atom
Electronic total energy: -9.84 eV per atom
Formation energy from the elements: 1.73 eV per formula unit

No. 29
## InReW2 (GGA-PBE)

Data for crystalline InReW2 at its relaxed geometry.

a = 5.077 Å, b = 5.077 Å, c = 5.077 Å
α = 133.86°, β = 133.86°, γ = 67.30°
Element x y z (fractional)
In: 0.000 0.000 0.000
Re: 0.500 0.500 0.000
W: 0.250 0.750 0.500
W: 0.750 0.250 0.500

Calculated values
Calculated volume: 16.7 Å³/atom
Electronic total energy: -9.72 eV per atom
Formation energy from the elements: 2.22 eV per formula unit

No. 30
## InReW4 (GGA-PBE)

Data for crystalline InReW4 at its relaxed geometry.

a = 5.281 Å, b = 5.281 Å, c = 5.281 Å
α = 60.00°, β = 60.00°, γ = 60.00°
Element x y z (fractional)
In: 0.000 0.000 0.000
Re: 0.250 0.250 0.250
W: 0.122 0.626 0.626
W: 0.626 0.122 0.626
W: 0.626 0.626 0.122
W: 0.626 0.626 0.626

Calculated values
Calculated volume: 17.4 Å³/atom
Electronic total energy: -10.59 eV per atom
Formation energy from the elements: 3.47 eV per formula unit